A relaxed structure of MnSbPd. Source: Alexandria, functional PBE.

As for the density of states at the Fermi level: 1.925 states/eV per cell. The total energy is -6.247 eV per atom. The mass density is 8.1 g cm⁻³. As for the uncorrected formation energy: -0.0855 eV/atom.

Unit cell a=4.3478 b=4.3478 c=4.3478 alpha=60.00 beta=60.00 gamma=60.00
With the nearest neighbours (Å) after each atom.
Fractional positions:
Mn: 0.2500 0.2500 0.2500  4 Sb 2.66, 4 Pd 2.66
Pd: 0.5000 0.5000 0.5000  4 Mn 2.66
Sb: 0.0000 0.0000 0.0000  4 Mn 2.66



A relaxed structure of Mn2SbPd5. Source: Alexandria, functional PBE.

As for the density of states at the Fermi level: 8.146 states/eV per cell. The total energy is -6.052 eV per atom. As for the energy relative to the lowest polymorph listed for this composition: 321 meV per atom. The mass density is 9.0 g cm⁻³. As for the uncorrected formation energy: 0.0013 eV/atom.

Unit cell a=2.9319 b=7.0194 c=13.9485 alpha=90.00 beta=90.00 gamma=102.05
With the nearest neighbours (Å) after each atom.
Fractional positions:
Pd: 0.9528 0.9057 0.3544  2 Mn 2.57-2.61, 1 Sb 2.68, 3 Pd 2.79-2.87
Pd: 0.2866 0.5732 0.0794  3 Mn 2.62-2.64, 8 Pd 2.80-2.93
Pd: 0.9528 0.9057 0.1456  2 Mn 2.57-2.61, 1 Sb 2.68, 3 Pd 2.79-2.87
Pd: 0.2866 0.5732 0.4206  3 Mn 2.62-2.64, 8 Pd 2.80-2.93
Pd: 0.2207 0.4415 0.7500  2 Sb 2.67, 8 Pd 2.79-2.93
Pd: 0.0472 0.0943 0.8544  2 Mn 2.57-2.61, 1 Sb 2.68, 3 Pd 2.79-2.87
Pd: 0.0472 0.0943 0.6456  2 Mn 2.57-2.61, 1 Sb 2.68, 3 Pd 2.79-2.87
Pd: 0.7134 0.4268 0.9206  3 Mn 2.62-2.64, 8 Pd 2.80-2.93
Pd: 0.7793 0.5585 0.2500  2 Sb 2.67, 8 Pd 2.79-2.93
Pd: 0.7134 0.4268 0.5794  3 Mn 2.62-2.64, 8 Pd 2.80-2.93
Mn: 0.1016 0.2032 0.4666  5 Pd 2.57-2.64
Mn: 0.8984 0.7968 0.5334  5 Pd 2.57-2.64
Mn: 0.8984 0.7968 0.9666  5 Pd 2.57-2.64
Mn: 0.1016 0.2032 0.0334  5 Pd 2.57-2.64
Sb: 0.8836 0.7672 0.7500  4 Pd 2.67-2.68, 2 Sb 2.93
Sb: 0.1164 0.2328 0.2500  4 Pd 2.67-2.68, 2 Sb 2.93



A relaxed structure of Mn2SbPd8. Source: Alexandria, functional PBE.

As for the density of states at the Fermi level: 4.980 states/eV per cell. The total energy is -6.099 eV per atom. As for the energy relative to the lowest polymorph listed for this composition: 0 meV per atom. The mass density is 10.4 g cm⁻³. As for the uncorrected formation energy: -0.2803 eV/atom.

Unit cell a=4.0837 b=6.1729 c=7.3786 alpha=103.96 beta=106.06 gamma=90.00
With the nearest neighbours (Å) after each atom.
Fractional positions:
Sb: 0.5000 0.0000 0.0000  12 Pd 2.71-3.00
Pd: 0.8494 0.7916 0.6989  3 Mn 2.66-2.72, 7 Pd 2.72-2.95
Pd: 0.9574 0.2668 0.9147  1 Mn 2.72, 2 Sb 2.78, 9 Pd 2.83-2.95
Pd: 0.1506 0.2084 0.3011  3 Mn 2.66-2.72, 7 Pd 2.72-2.95
Pd: 0.6789 0.9179 0.3578  3 Mn 2.68-2.79, 1 Sb 2.71, 8 Pd 2.72-2.87
Pd: 0.3211 0.0821 0.6422  3 Mn 2.68-2.79, 1 Sb 2.71, 8 Pd 2.72-2.87
Pd: 0.4032 0.5394 0.8065  3 Mn 2.77-2.82, 8 Pd 2.77-2.91, 1 Sb 2.83
Pd: 0.5968 0.4606 0.1935  3 Mn 2.77-2.82, 8 Pd 2.77-2.91, 1 Sb 2.83
Pd: 0.0426 0.7332 0.0853  1 Mn 2.72, 2 Sb 2.78, 9 Pd 2.83-2.95
Mn: 0.2220 0.6505 0.4439  10 Pd 2.66-2.82
Mn: 0.7780 0.3495 0.5561  10 Pd 2.66-2.82



A relaxed structure of Mn2SbPd7. Source: Alexandria, functional PBE.

As for the density of states at the Fermi level: 4.767 states/eV per cell. The total energy is -6.024 eV per atom. The mass density is 9.6 g cm⁻³. As for the uncorrected formation energy: -0.1429 eV/atom.

Unit cell a=9.5626 b=4.5956 c=5.4950 alpha=54.52 beta=58.89 gamma=71.52
With the nearest neighbours (Å) after each atom.
Fractional positions:
Pd: 0.1464 0.3368 0.0684  1 Mn 2.56, 2 Sb 2.68-2.74, 5 Pd 2.82-2.86
Pd: 0.3398 0.9129 0.7718  2 Mn 2.55-2.67, 6 Pd 2.64-2.86, 1 Sb 2.75
Pd: 0.8413 0.4089 0.5914  2 Sb 2.69-2.81, 6 Pd 2.71-2.96, 2 Mn 2.81-2.87
Pd: 0.4707 0.5393 0.4308  5 Pd 2.64-2.88, 3 Mn 2.69-2.84
Pd: 0.8390 0.5519 0.0314  1 Mn 2.57, 2 Sb 2.70-2.74, 5 Pd 2.75-2.86
Pd: 0.1574 0.5742 0.4556  2 Sb 2.68-2.92, 1 Mn 2.71, 7 Pd 2.78-2.99
Pd: 0.6569 0.0196 0.2515  2 Mn 2.53-2.56, 5 Pd 2.68-2.82
Sb: 0.0053 0.9699 0.9986  10 Pd 2.68-2.92
Mn: 0.6381 0.9277 0.7684  4 Pd 2.53-2.81
Mn: 0.4050 0.2589 0.1321  6 Pd 2.55-2.73, 1 Mn 2.84



A relaxed structure of Mn2SbPd3. Source: Alexandria, functional PBE.

As for the density of states at the Fermi level: 6.432 states/eV per cell. The total energy is -6.608 eV per atom. The mass density is 9.3 g cm⁻³. As for the uncorrected formation energy: -0.2676 eV/atom.

Unit cell a=4.5009 b=4.5004 c=11.1987 alpha=90.08 beta=89.93 gamma=120.05
With the nearest neighbours (Å) after each atom.
Fractional positions:
Pd: 0.3334 0.6666 0.4192  4 Mn 2.75-2.91, 4 Sb 2.79-2.82
Pd: 0.0000 0.0000 0.7590  5 Mn 2.70-2.90, 3 Sb 2.78
Pd: 0.6666 0.3334 0.5808  4 Mn 2.75-2.91, 4 Sb 2.79-2.82
Pd: 0.0000 0.0000 0.2410  5 Mn 2.70-2.90, 3 Sb 2.78
Pd: 0.6667 0.3333 0.0771  7 Mn 2.65-2.76, 1 Sb 2.82
Pd: 0.3333 0.6667 0.9229  7 Mn 2.65-2.76, 1 Sb 2.82
Mn: 0.3333 0.6667 0.1597  8 Pd 2.65-2.91
Mn: 0.0000 0.0000 0.0000  8 Pd 2.70-2.74
Mn: 0.6667 0.3333 0.8403  8 Pd 2.65-2.91
Mn: 0.0000 0.0000 0.5000  8 Pd 2.75-2.90
Sb: 0.3333 0.6667 0.6710  8 Pd 2.78-2.82
Sb: 0.6667 0.3333 0.3290  8 Pd 2.78-2.82



A relaxed structure of MnSbPd. Source: Alexandria, functional PBE.

As for the density of states at the Fermi level: 2.137 states/eV per cell. The total energy is -6.262 eV per atom. The mass density is 8.7 g cm⁻³. As for the uncorrected formation energy: -0.1009 eV/atom.

Unit cell a=3.6387 b=3.6387 c=4.8334 alpha=112.11 beta=112.11 gamma=90.00
With the nearest neighbours (Å) after each atom.
Fractional positions:
Mn: 0.6121 0.6121 0.2242  5 Sb 2.69-2.93, 5 Pd 2.80-2.88
Pd: 0.9539 0.9539 0.9079  5 Sb 2.70-2.92, 5 Mn 2.80-2.88
Sb: 0.2839 0.2839 0.5679  5 Mn 2.69-2.93, 5 Pd 2.70-2.92



A relaxed structure of MnSb6Pd12. Source: Alexandria, functional PBE.

As for the density of states at the Fermi level: 9.275 states/eV per cell. The total energy is -5.415 eV per atom. The mass density is 9.8 g cm⁻³. As for the uncorrected formation energy: -0.3513 eV/atom.

Unit cell a=7.3489 b=7.3489 c=7.3489 alpha=104.56 beta=104.56 gamma=104.56
With the nearest neighbours (Å) after each atom.
Fractional positions:
Sb: 0.7765 0.8987 0.5017  7 Pd 2.69-2.91
Sb: 0.4983 0.2235 0.1013  7 Pd 2.69-2.91
Sb: 0.2235 0.1013 0.4983  7 Pd 2.69-2.91
Sb: 0.8987 0.5017 0.7765  7 Pd 2.69-2.91
Sb: 0.5017 0.7765 0.8987  7 Pd 2.69-2.91
Sb: 0.1013 0.4983 0.2235  7 Pd 2.69-2.91
Pd: 0.1228 0.8581 0.7208  1 Mn 2.54, 2 Sb 2.78-2.80
Pd: 0.5243 0.4067 0.8126  4 Sb 2.69-2.80, 6 Pd 2.83-2.93
Pd: 0.1419 0.2792 0.8772  1 Mn 2.54, 2 Sb 2.78-2.80
Pd: 0.8126 0.5243 0.4067  4 Sb 2.69-2.80, 6 Pd 2.83-2.93
Pd: 0.8581 0.7208 0.1228  1 Mn 2.54, 2 Sb 2.78-2.80
Pd: 0.4757 0.5933 0.1874  4 Sb 2.69-2.80, 6 Pd 2.83-2.93
Pd: 0.2792 0.8772 0.1419  1 Mn 2.54, 2 Sb 2.78-2.80
Pd: 0.8772 0.1419 0.2792  1 Mn 2.54, 2 Sb 2.78-2.80
Pd: 0.1874 0.4757 0.5933  4 Sb 2.69-2.80, 6 Pd 2.83-2.93
Pd: 0.4067 0.8126 0.5243  4 Sb 2.69-2.80, 6 Pd 2.83-2.93
Pd: 0.7208 0.1228 0.8581  1 Mn 2.54, 2 Sb 2.78-2.80
Pd: 0.5933 0.1874 0.4757  4 Sb 2.69-2.80, 6 Pd 2.83-2.93
Mn: 0.0000 0.0000 0.0000  6 Pd 2.54



A relaxed structure of MnSb2Pd5. Source: Alexandria, functional PBE.

As for the density of states at the Fermi level: 4.345 states/eV per cell. The total energy is -5.652 eV per atom. The mass density is 9.8 g cm⁻³. As for the uncorrected formation energy: -0.2300 eV/atom.

Unit cell a=3.0639 b=7.1058 c=7.1058 alpha=70.64 beta=77.55 gamma=77.55
With the nearest neighbours (Å) after each atom.
Fractional positions:
Sb: 0.2339 0.2661 0.2661  7 Pd 2.59-2.85
Sb: 0.7661 0.7339 0.7339  7 Pd 2.59-2.85
Pd: 0.6238 0.1251 0.6273  3 Sb 2.59-2.85, 1 Pd 2.77
Pd: 0.3762 0.3727 0.8749  3 Sb 2.59-2.85, 1 Pd 2.77
Pd: 0.0000 0.5000 0.5000  2 Sb 2.62, 8 Pd 2.92
Pd: 0.3762 0.8749 0.3727  3 Sb 2.59-2.85, 1 Pd 2.77
Pd: 0.6238 0.6273 0.1251  3 Sb 2.59-2.85, 1 Pd 2.77
Mn: 0.0000 0.0000 0.0000  8 Pd 2.91, 2 Mn 3.06



A relaxed structure of Mn3SbPd. Source: Alexandria, functional PBE.

As for the density of states at the Fermi level: 4.901 states/eV per cell. The total energy is -6.684 eV per atom. As for the energy relative to the lowest polymorph listed for this composition: 0 meV per atom. The mass density is 5.8 g cm⁻³. As for the uncorrected formation energy: 0.6805 eV/atom.

Unit cell a=4.8219 b=4.8219 c=4.8219 alpha=90.00 beta=90.00 gamma=90.00
With the nearest neighbours (Å) after each atom.
Fractional positions:
Mn: 0.5000 0.0000 0.0000  2 Pd 2.41
Mn: 0.0000 0.0000 0.5000  2 Pd 2.41
Mn: 0.0000 0.5000 0.0000  2 Pd 2.41
Pd: 0.0000 0.0000 0.0000  6 Mn 2.41
Sb: 0.5000 0.5000 0.5000  12 Mn 3.41



A relaxed structure of MnSbPd. Source: Alexandria, functional PBE.

As for the density of states at the Fermi level: 0.661 states/eV per cell. The total energy is -6.251 eV per atom. The mass density is 8.6 g cm⁻³. As for the uncorrected formation energy: -0.0896 eV/atom.

Unit cell a=3.0571 b=4.5399 c=4.5399 alpha=120.00 beta=90.00 gamma=90.00
With the nearest neighbours (Å) after each atom.
Fractional positions:
Pd: 0.8336 0.0000 0.0000  3 Sb 2.62
Mn: 0.3336 0.3333 0.6667  6 Sb 3.03-3.04, 6 Pd 3.03, 2 Mn 3.06
Sb: 0.8328 0.6667 0.3333  3 Pd 2.62



A relaxed structure of Mn2Sb3Pd3. Source: Alexandria, functional PBE.

As for the density of states at the Fermi level: 8.117 states/eV per cell. The total energy is -6.005 eV per atom. The mass density is 8.4 g cm⁻³. As for the uncorrected formation energy: -0.2194 eV/atom.

Unit cell a=5.6915 b=7.9629 c=7.9629 alpha=60.00 beta=90.00 gamma=90.00
With the nearest neighbours (Å) after each atom.
Fractional positions:
Mn: 0.5000 0.6667 0.6667  2 Mn 2.85, 6 Pd 2.90, 6 Sb 3.13
Mn: 0.0000 0.3333 0.3333  2 Mn 2.85, 6 Pd 2.90, 6 Sb 3.13
Mn: 0.0000 0.6667 0.6667  2 Mn 2.85, 6 Pd 2.90, 6 Sb 3.13
Mn: 0.5000 0.3333 0.3333  2 Mn 2.85, 6 Pd 2.90, 6 Sb 3.13
Pd: 0.7500 0.6323 0.3677  5 Sb 2.63-2.89, 4 Mn 2.90
Pd: 0.7500 0.3677 0.0000  5 Sb 2.63-2.89, 4 Mn 2.90
Pd: 0.2500 0.6323 0.0000  5 Sb 2.63-2.89, 4 Mn 2.90
Pd: 0.2500 0.0000 0.3677  5 Sb 2.63-2.89, 4 Mn 2.90
Pd: 0.2500 0.3677 0.6323  5 Sb 2.63-2.89, 4 Mn 2.90
Pd: 0.7500 0.0000 0.6323  5 Sb 2.63-2.89, 4 Mn 2.90
Sb: 0.2500 0.0000 0.6985  5 Pd 2.63-2.89
Sb: 0.2500 0.6985 0.3015  5 Pd 2.63-2.89
Sb: 0.7500 0.6985 0.0000  5 Pd 2.63-2.89
Sb: 0.7500 0.0000 0.3015  5 Pd 2.63-2.89
Sb: 0.7500 0.3015 0.6985  5 Pd 2.63-2.89
Sb: 0.2500 0.3015 0.0000  5 Pd 2.63-2.89



A relaxed structure of Mn3SbPd4. Source: Alexandria, functional PBE.

As for the density of states at the Fermi level: 4.656 states/eV per cell. The total energy is -6.758 eV per atom. The mass density is 9.1 g cm⁻³. As for the uncorrected formation energy: -0.2078 eV/atom.

Unit cell a=5.5215 b=5.5215 c=5.5215 alpha=109.47 beta=109.47 gamma=109.47
With the nearest neighbours (Å) after each atom.
Fractional positions:
Mn: 0.0000 0.5000 0.5000  8 Pd 2.76
Mn: 0.5000 0.0000 0.5000  8 Pd 2.76
Mn: 0.5000 0.5000 0.0000  8 Pd 2.76
Pd: 0.0000 0.0000 0.4999  2 Sb 2.76, 6 Mn 2.76
Pd: 0.0000 0.4999 0.0000  2 Sb 2.76, 6 Mn 2.76
Pd: 0.4999 0.0000 0.0000  2 Sb 2.76, 6 Mn 2.76
Pd: 0.5001 0.5001 0.5001  2 Sb 2.76, 6 Mn 2.76
Sb: 0.0000 0.0000 0.0000  8 Pd 2.76